No. 1
# KTlIn2 | the Alexandria database | GGA-PBE | optimized geometry
# - Formation energy: 0.01 eV per atom
# - Energy above the lowest structure with this stoichiometry: 115 meV per atom
data_KTlIn2
_chemical_formula_sum 'K2 Tl2 In4'
_cell_length_a 4.909
_cell_length_b 4.909
_cell_length_c 10.370
_cell_angle_alpha 90.00
_cell_angle_beta 90.00
_cell_angle_gamma 90.00
_space_group_name_H-M_alt 'I 4/m m m'
_space_group_IT_number 139
_space_group_name_Hall '-I 4 2'
loop_
_atom_site_label
_atom_site_fract_x
_atom_site_fract_y
_atom_site_fract_z
K1 0.000 0.000 0.000
Tl1 0.000 0.000 0.500
In1 0.000 0.500 0.250

No. 2
# K2TlIn | the Alexandria database | GGA-PBE | optimized geometry
# - Formation energy: 0.11 eV per atom
# - Energy above the lowest structure with this stoichiometry: 206 meV per atom
data_K2TlIn
_chemical_formula_sum 'K8 Tl4 In4'
_cell_length_a 9.850
_cell_length_b 9.850
_cell_length_c 6.713
_cell_angle_alpha 90.00
_cell_angle_beta 90.00
_cell_angle_gamma 90.00
_space_group_name_H-M_alt 'I -4 2 d'
_space_group_IT_number 122
_space_group_name_Hall 'I -4 2bw'
loop_
_atom_site_label
_atom_site_fract_x
_atom_site_fract_y
_atom_site_fract_z
K1 0.248 0.250 0.125
Tl1 0.000 0.000 0.000
In1 0.000 0.000 0.500

No. 3
# KTl3In3 | the Alexandria database | GGA-PBE | optimized geometry
# - Formation energy: -0.03 eV per atom
# - Energy above the lowest structure with this stoichiometry: 0 meV per atom
data_KTl3In3
_chemical_formula_sum 'K2 Tl6 In6'
_cell_length_a 9.7501
_cell_length_b 9.7501
_cell_length_c 5.4197
_cell_angle_alpha 90.00
_cell_angle_beta 90.00
_cell_angle_gamma 120.00
_space_group_name_H-M_alt 'P 63/m'
_space_group_IT_number 176
_space_group_name_Hall '-P 6c'
loop_
_atom_site_label
_atom_site_fract_x
_atom_site_fract_y
_atom_site_fract_z
K1 0.3333 0.6667 0.2500
Tl1 0.0895 0.6647 0.7500
In1 0.0464 0.8307 0.2500

No. 4
# K2TlIn | the Alexandria database | GGA-PBE | optimized geometry
# - Formation energy: -0.05 eV per atom
# - Energy above the lowest structure with this stoichiometry: 43 meV per atom
data_K2TlIn
_chemical_formula_sum 'K4 Tl2 In2'
_cell_length_a 5.372
_cell_length_b 4.381
_cell_length_c 13.871
_cell_angle_alpha 90.00
_cell_angle_beta 90.00
_cell_angle_gamma 90.00
_space_group_name_H-M_alt 'A m m 2'
_space_group_IT_number 38
loop_
_space_group_symop_operation_xyz
'x,y,z'
'-x,-y,z'
'-x,y,z'
'x,-y,z'
'x,y+1/2,z+1/2'
'-x,-y+1/2,z+1/2'
'-x,y+1/2,z+1/2'
'x,-y+1/2,z+1/2'
loop_
_atom_site_label
_atom_site_fract_x
_atom_site_fract_y
_atom_site_fract_z
K1 0.000 0.000 0.000
K2 0.500 0.000 0.320
Tl1 0.500 0.000 0.607
In1 0.000 0.000 0.713

No. 5
# KTlIn | the Alexandria database | GGA-PBE | optimized geometry
# - Formation energy: -0.08 eV per atom
# - Energy above the lowest structure with this stoichiometry: 48 meV per atom
data_KTlIn
_chemical_formula_sum 'K2 Tl2 In2'
_cell_length_a 3.820
_cell_length_b 3.820
_cell_length_c 13.768
_cell_angle_alpha 90.00
_cell_angle_beta 90.00
_cell_angle_gamma 90.00
_space_group_name_H-M_alt 'I 4 m m'
_space_group_IT_number 107
_space_group_name_Hall 'I 4 -2'
loop_
_atom_site_label
_atom_site_fract_x
_atom_site_fract_y
_atom_site_fract_z
K1 0.000 0.000 0.000
Tl1 0.000 0.000 0.317
In1 0.000 0.000 0.683

No. 6
# KTl5In2 | the Alexandria database | GGA-PBE | optimized geometry
# - Formation energy: 0.00 eV per atom
# - Energy above the lowest structure with this stoichiometry: 37 meV per atom
data_KTl5In2
_chemical_formula_sum 'K4 Tl20 In8'
_cell_length_a 8.545
_cell_length_b 8.545
_cell_length_c 13.989
_cell_angle_alpha 90.00
_cell_angle_beta 90.00
_cell_angle_gamma 90.00
_space_group_name_H-M_alt 'I 4/m c m'
_space_group_IT_number 140
_space_group_name_Hall '-I 4 2c'
loop_
_atom_site_label
_atom_site_fract_x
_atom_site_fract_y
_atom_site_fract_z
K1 0.000 0.000 0.250
Tl1 0.000 0.000 0.000
Tl2 0.145 0.355 0.151
In1 0.150 0.350 0.500

No. 7
# KTl4In4 | the Alexandria database | GGA-PBE | optimized geometry
# - Formation energy: 0.02 eV per atom
# - Energy above the lowest structure with this stoichiometry: 54 meV per atom
data_KTl4In4
_chemical_formula_sum 'K2 Tl8 In8'
_cell_length_a 7.468
_cell_length_b 7.468
_cell_length_c 10.947
_cell_angle_alpha 90.00
_cell_angle_beta 90.00
_cell_angle_gamma 90.00
_space_group_name_H-M_alt 'P 42/n m c'
_space_group_IT_number 137
loop_
_space_group_symop_operation_xyz
'x,y,z'
'-x,-y,-z'
'-y+1/2,x,z+1/2'
'y+1/2,-x,-z+1/2'
'-x+1/2,-y+1/2,z'
'x+1/2,y+1/2,-z'
'y,-x+1/2,z+1/2'
'-y,x+1/2,-z+1/2'
'x+1/2,-y,-z'
'-x+1/2,y,z'
'-y,-x,-z+1/2'
'y,x,z+1/2'
'-x,y+1/2,-z'
'x,-y+1/2,z'
'y+1/2,x+1/2,-z+1/2'
'-y+1/2,-x+1/2,z+1/2'
loop_
_atom_site_label
_atom_site_fract_x
_atom_site_fract_y
_atom_site_fract_z
K1 0.250 0.750 0.250
Tl1 0.021 0.250 0.151
In1 0.045 0.250 0.437

No. 8
# KTlIn2 | the Alexandria database | GGA-PBE | optimized geometry
# - Formation energy: -0.07 eV per atom
# - Energy above the lowest structure with this stoichiometry: 31 meV per atom
data_KTlIn2
_chemical_formula_sum 'K2 Tl2 In4'
_cell_length_a 5.476
_cell_length_b 5.594
_cell_length_c 8.430
_cell_angle_alpha 90.00
_cell_angle_beta 90.00
_cell_angle_gamma 90.00
_space_group_name_H-M_alt 'C m m 2'
_space_group_IT_number 35
loop_
_space_group_symop_operation_xyz
'x,y,z'
'-x,-y,z'
'-x,y,z'
'x,-y,z'
'x+1/2,y+1/2,z'
'-x+1/2,-y+1/2,z'
'-x+1/2,y+1/2,z'
'x+1/2,-y+1/2,z'
loop_
_atom_site_label
_atom_site_fract_x
_atom_site_fract_y
_atom_site_fract_z
K1 0.000 0.000 0.000
Tl1 0.000 0.500 0.702
In1 0.000 0.000 0.489
In2 0.000 0.500 0.297

No. 9
# KTlIn2 | the Alexandria database | GGA-PBE | optimized geometry
# - Formation energy: 0.01 eV per atom
# - Energy above the lowest structure with this stoichiometry: 120 meV per atom
data_KTlIn2
_chemical_formula_sum 'K1 Tl1 In2'
_cell_length_a 4.923
_cell_length_b 4.923
_cell_length_c 5.128
_cell_angle_alpha 90.00
_cell_angle_beta 90.00
_cell_angle_gamma 90.00
_space_group_name_H-M_alt 'P 4/m m m'
_space_group_IT_number 123
_space_group_name_Hall '-P 4 2'
loop_
_atom_site_label
_atom_site_fract_x
_atom_site_fract_y
_atom_site_fract_z
K1 0.000 0.000 0.000
Tl1 0.500 0.500 0.000
In1 0.000 0.500 0.500

No. 10
# KTlIn2 | the Alexandria database | GGA-PBE | optimized geometry
# - Formation energy: -0.06 eV per atom
# - Energy above the lowest structure with this stoichiometry: 48 meV per atom
data_KTlIn2
_chemical_formula_sum 'K2 Tl2 In4'
_cell_length_a 9.442
_cell_length_b 3.727
_cell_length_c 7.899
_cell_angle_alpha 90.00
_cell_angle_beta 99.09
_cell_angle_gamma 90.00
_space_group_name_H-M_alt 'C 1 m 1'
_space_group_IT_number 8
loop_
_space_group_symop_operation_xyz
'x,y,z'
'x,-y,z'
'x+1/2,y+1/2,z'
'x+1/2,-y+1/2,z'
loop_
_atom_site_label
_atom_site_fract_x
_atom_site_fract_y
_atom_site_fract_z
K1 0.000 0.000 0.000
Tl1 0.259 0.500 0.310
In1 0.003 0.500 0.518
In2 0.242 0.000 0.690

No. 11
# K2Tl5In3 | the Alexandria database | GGA-PBE | optimized geometry
# - Formation energy: -0.07 eV per atom
data_K2Tl5In3
_chemical_formula_sum 'K2 Tl5 In3'
_cell_length_a 5.170
_cell_length_b 5.170
_cell_length_c 12.828
_cell_angle_alpha 90.00
_cell_angle_beta 90.00
_cell_angle_gamma 90.00
_space_group_name_H-M_alt 'P -4 m 2'
_space_group_IT_number 115
loop_
_space_group_symop_operation_xyz
'x,y,z'
'y,-x,-z'
'-x,-y,z'
'-y,x,-z'
'-x,y,z'
'-y,-x,-z'
'x,-y,z'
'y,x,-z'
loop_
_atom_site_label
_atom_site_fract_x
_atom_site_fract_y
_atom_site_fract_z
K1 0.000 0.500 0.243
Tl1 0.000 0.000 0.500
Tl2 0.000 0.500 0.643
Tl3 0.500 0.500 0.000
Tl4 0.500 0.500 0.500
In1 0.000 0.000 0.000
In2 0.000 0.500 0.872

No. 12
# KTlIn3 | the Alexandria database | GGA-PBE | optimized geometry
# - Formation energy: 0.05 eV per atom
# - Energy above the lowest structure with this stoichiometry: 144 meV per atom
data_KTlIn3
_chemical_formula_sum 'K4 Tl4 In12'
_cell_length_a 7.558
_cell_length_b 13.119
_cell_length_c 6.846
_cell_angle_alpha 90.00
_cell_angle_beta 90.00
_cell_angle_gamma 90.00
_space_group_name_H-M_alt 'C m c m'
_space_group_IT_number 63
_space_group_name_Hall '-C 2c 2'
loop_
_atom_site_label
_atom_site_fract_x
_atom_site_fract_y
_atom_site_fract_z
K1 0.000 0.166 0.250
Tl1 0.000 0.500 0.000
In1 0.000 0.303 0.750
In2 0.205 0.099 0.750